The following is a PBE-GGA calculation of crystalline YBeAl3Pd at its relaxed geometry, from Alexandria via LeMat-Bulk.

It has space group Cmcm (No. 63), with a = 6.0076 Å, b = 11.8472 Å, c = 5.9502 Å, α = 90.00°, β = 90.00° and γ = 90.00°. The asymmetric unit holds Y at (0.0000, 0.2215, 0.2500), Be at (0.0000, 0.4434, 0.2500), Al at (0.0000, 0.3559, 0.7500), Al at (0.2202, 0.0000, 0.0000) and Pd at (0.0000, 0.1427, 0.7500).

The crystal system is orthorhombic. Its energy of formation is -280 meV per atom.


The following is a PBE-GGA calculation of crystalline Cs2SrBeBi at its relaxed geometry, from Alexandria via LeMat-Bulk.

It has space group P4/mmm (No. 123), with a = 7.9664 Å, b = 7.9664 Å, c = 4.6959 Å, α = 90.00°, β = 90.00° and γ = 90.00°. The asymmetric unit holds Cs at (0.0000, 0.5000, 0.0000), Sr at (0.0000, 0.0000, 0.5000), Be at (0.5000, 0.5000, 0.5000) and Bi at (0.5000, 0.5000, 0.0000).

The crystal system is tetragonal. Its energy of formation is 343 meV per atom.


The following is a PBE-GGA calculation of crystalline CaErTlPb at its relaxed geometry, from Alexandria via LeMat-Bulk.

It has space group F-43m (No. 216), with a = 7.7031 Å, b = 7.7031 Å, c = 7.7031 Å, α = 90.00°, β = 90.00° and γ = 90.00°. The asymmetric unit holds Ca at (0.0000, 0.0000, 0.0000), Er at (0.0000, 0.0000, 0.5000), Tl at (0.2500, 0.2500, 0.2500) and Pb at (0.2500, 0.2500, 0.7500).

Its energy above the most stable polymorph in this dataset is 0.009 eV/atom. The crystal system is cubic. Its energy of formation is -380 meV per atom.